No. 1
## NpGaGe2 (GGA-PBE)

Data for NpGaGe2 after structural relaxation.

```
data_NpGaGe2
_chemical_formula_sum 'Np1 Ga1 Ge2'
_cell_length_a 4.313
_cell_length_b 4.313
_cell_length_c 4.094
_cell_angle_alpha 90.00
_cell_angle_beta 90.00
_cell_angle_gamma 90.00
_space_group_name_H-M_alt 'P 4/m m m'
_space_group_IT_number 123
_space_group_name_Hall '-P 4 2'
loop_
_atom_site_label
_atom_site_type_symbol
_atom_site_fract_x
_atom_site_fract_y
_atom_site_fract_z
Np1 Np 0.000 0.000 0.000
Ga1 Ga 0.500 0.500 0.000
Ge1 Ge 0.000 0.500 0.500
```

## Properties
DOS at the Fermi energy = 8.52 states/eV per cell
relative energy among the computed polymorphs = 0.0 meV/atom
calculated formation energy = -0.245 eV/atom
V = 19.041 Å³/atom

No. 2
## PrSm5Ho (GGA-PBE)

Data for PrSm5Ho after structural relaxation.

```
data_PrSm5Ho
_chemical_formula_sum 'Pr4 Sm20 Ho4'
_cell_length_a 11.952
_cell_length_b 6.893
_cell_length_c 12.366
_cell_angle_alpha 90.00
_cell_angle_beta 110.54
_cell_angle_gamma 90.00
_space_group_name_H-M_alt 'C 1 2/c 1'
_space_group_IT_number 15
_space_group_name_Hall '-C 2yc'
loop_
_atom_site_label
_atom_site_type_symbol
_atom_site_fract_x
_atom_site_fract_y
_atom_site_fract_z
Pr1 Pr 0.250 0.250 0.000
Sm1 Sm 0.000 0.079 0.750
Sm2 Sm 0.077 0.233 0.501
Sm3 Sm 0.220 0.136 0.250
Ho1 Ho 0.000 0.474 0.250
```

## Properties
DOS at the Fermi energy = 38.24 states/eV per cell
relative energy among the computed polymorphs = 0.0 meV/atom
calculated formation energy = 0.171 eV/atom
V = 34.073 Å³/atom

No. 3
## ZnFe3Cu (GGA-PBE)

Data for ZnFe3Cu after structural relaxation.

```
data_ZnFe3Cu
_chemical_formula_sum 'Zn1 Fe3 Cu1'
_cell_length_a 4.365
_cell_length_b 4.365
_cell_length_c 4.365
_cell_angle_alpha 90.00
_cell_angle_beta 90.00
_cell_angle_gamma 90.00
_space_group_name_H-M_alt 'P m -3 m'
_space_group_IT_number 221
_space_group_name_Hall '-P 4 2 3'
loop_
_atom_site_label
_atom_site_type_symbol
_atom_site_fract_x
_atom_site_fract_y
_atom_site_fract_z
Zn1 Zn 0.000 0.000 0.000
Fe1 Fe 0.000 0.500 0.500
Cu1 Cu 0.500 0.500 0.500
```

## Properties
DOS at the Fermi energy = 3.98 states/eV per cell
relative energy among the computed polymorphs = 0.0 meV/atom
calculated formation energy = 1.105 eV/atom
V = 16.635 Å³/atom